VASP calculation (PBE) on a relaxed TiAl crystal.

Computed properties:
SG ... No. 12
Formation enthalpy at 0 K ... -0.346 eV per atom

a b c (Å): 5.2635 5.2635 4.7678
angles (deg): 113.17 113.17 32.69
With the nearest neighbours (Å) after each atom.
Fractional positions:
Ti1 0.1237 0.1237 0.4293  7 Al 2.76-3.02, 5 Ti 2.78-2.96
Ti2 0.8763 0.8763 0.5707  7 Al 2.76-3.02, 5 Ti 2.78-2.96
Al1 0.3733 0.3733 0.0572  5 Al 2.75-2.96, 7 Ti 2.76-3.02
Al2 0.6267 0.6267 0.9428  5 Al 2.75-2.96, 7 Ti 2.76-3.02

=====

VASP calculation (PBE) on a relaxed ScCuC crystal.

Computed properties:
SG ... No. 194
Formation enthalpy at 0 K ... 1.874 eV per atom

a b c (Å): 4.6653 4.6653 8.1272
angles (deg): 90.00 90.00 120.00
With the nearest neighbours (Å) after each atom.
Fractional positions:
Sc1 0.0000 0.0000 0.2500  2 C 2.03
Sc2 0.0000 0.0000 0.7500  2 C 2.03
Cu1 0.3333 0.6667 0.2500  3 Sc 2.69
Cu2 0.6667 0.3333 0.7500  3 Sc 2.69
C1 0.0000 0.0000 0.0000  2 Sc 2.03
C2 0.0000 0.0000 0.5000  2 Sc 2.03

=====

VASP calculation (PBE) on a relaxed Cs3Ba crystal.

Computed properties:
SG ... No. 225
Formation enthalpy at 0 K ... 0.153 eV per atom

a b c (Å): 8.2018 8.2018 8.2018
angles (deg): 60.00 60.00 60.00
With the nearest neighbours (Å) after each atom.
Fractional positions:
Cs1 0.0000 0.0000 0.0000  8 Cs 5.02
Cs2 0.2500 0.2500 0.2500  4 Ba 5.02, 4 Cs 5.02
Cs3 0.7500 0.7500 0.7500  4 Ba 5.02, 4 Cs 5.02
Ba1 0.5000 0.5000 0.5000  8 Cs 5.02

=====

VASP calculation (PBE) on a relaxed TlTcSb2 crystal.

Computed properties:
E_form (uncorrected) ... 136 kJ/mol of formula units
SG ... No. 160

a b c (Å): 9.9715 9.9715 9.9715
angles (deg): 19.29 19.29 19.29
With the nearest neighbours (Å) after each atom.
Fractional positions:
Tl1 0.0000 0.0000 0.0000  3 Tc 2.96
Tc1 0.2571 0.2571 0.2571  3 Sb 2.66, 3 Tl 2.96
Sb1 0.5282 0.5282 0.5282  3 Tc 2.66
Sb2 0.7643 0.7643 0.7643  9 Sb 3.34-3.45, 3 Tl 3.45

=====

Number 1: D(E_F) 0.637 states/eV per atom, raw total energy -6.165 eV per atom, M_tot 0.0 μB/cell. Number 2: D(E_F) 0.921 states/eV per atom, raw total energy -4.677 eV per atom, M_tot 1.2 μB/cell. Number 3: D(E_F) 1.506 states/eV per atom, raw total energy -0.967 eV per atom, M_tot 0.0 μB/cell. Number 4: D(E_F) 0.818 states/eV per atom, raw total energy -4.893 eV per atom, M_tot 0.0 μB/cell.